# 1
This record from Alexandria via LeMat-Bulk describes a relaxed NaCaBP2 crystal. The functional is PBE.

Properties
Its electronic total energy is -3.15 eV per atom. The energy of formation from the pure elements comes out at 1.0183 eV per atom.

a b c (Å): 4.912 4.516 4.912
angles (deg): 90.00 90.00 90.00
Fractional coordinates of all 5 atoms:
1 P 0.000 0.000 0.500
2 P 0.500 0.000 0.000
3 Ca 0.500 0.500 0.500
4 B 0.000 0.500 0.000
5 Na 0.000 0.000 0.000

---

# 2
This record from Alexandria via LeMat-Bulk describes a relaxed NaCaBPb2 crystal. The functional is PBE.

Properties
Its electronic total energy is -3.17 eV per atom. The energy of formation from the pure elements comes out at 0.3109 eV per atom.

a b c (Å): 5.128 5.141 5.128
angles (deg): 90.00 90.00 90.00
Fractional coordinates of all 5 atoms:
1 Pb 0.000 0.000 0.500
2 Pb 0.500 0.000 0.000
3 Na 0.500 0.500 0.500
4 Ca 0.000 0.500 0.000
5 B 0.000 0.000 0.000

---

# 3
This record from Alexandria via LeMat-Bulk describes a relaxed Na2CaBPd crystal. The functional is PBE.

Properties
Its electronic total energy is -2.44 eV per atom. The energy of formation from the pure elements comes out at 0.8632 eV per atom.

a b c (Å): 5.240 5.438 5.240
angles (deg): 90.00 90.00 90.00
Fractional coordinates of all 5 atoms:
1 Na 0.000 0.000 0.500
2 Na 0.500 0.000 0.000
3 Ca 0.000 0.500 0.000
4 B 0.500 0.500 0.500
5 Pd 0.000 0.000 0.000

---

# 4
This record from Alexandria via LeMat-Bulk describes a relaxed NaCaSn2B crystal. The functional is PBE.

Properties
Its electronic total energy is -2.57 eV per atom. The energy of formation from the pure elements comes out at 1.0355 eV per atom.

a b c (Å): 5.866 4.941 5.866
angles (deg): 90.00 90.00 90.00
Each line ends with the local moment (μB).
Fractional coordinates of all 5 atoms:
1 Na 0.500 0.500 0.500  0.00
2 Ca 0.000 0.000 0.000  0.11
3 B 0.000 0.500 0.000  0.22
4 Sn 0.000 0.000 0.500  0.02
5 Sn 0.500 0.000 0.000  0.01

---

# 5
This record from Alexandria via LeMat-Bulk describes a relaxed Na2CaTaB crystal. The functional is PBE.

Properties
Its electronic total energy is -2.16 eV per atom. The energy of formation from the pure elements comes out at 2.4734 eV per atom.

a b c (Å): 5.086 5.199 5.086
angles (deg): 90.00 90.00 90.00
Fractional coordinates of all 5 atoms:
1 Na 0.000 0.000 0.500
2 Na 0.500 0.000 0.000
3 Ca 0.000 0.000 0.000
4 B 0.500 0.500 0.500
5 Ta 0.000 0.500 0.000

---

# 6
This record from Alexandria via LeMat-Bulk describes a relaxed NaCaZnB2 crystal. The functional is PBE.

Properties
Its electronic total energy is -1.68 eV per atom. The energy of formation from the pure elements comes out at 1.9077 eV per atom.

a b c (Å): 4.887 5.735 4.887
angles (deg): 90.00 90.00 90.00
Each line ends with the local moment (μB).
Fractional coordinates of all 5 atoms:
1 Na 0.000 0.500 0.000  0.00
2 Zn 0.500 0.500 0.500  0.01
3 B 0.000 0.000 0.500  0.10
4 B 0.500 0.000 0.000  0.14
5 Ca 0.000 0.000 0.000  0.10